Material: BiP2O6
Method: DFT, PBE
State: optimized geometry

Its space group is No. 15.

Lattice parameters (Å, degrees): 5.078 7.346 7.346 79.33 89.97 89.97
Positions (direct):
Bi: 0.250 0.094 0.906
Bi: 0.750 0.906 0.094
P: 0.250 0.615 0.785
P: 0.250 0.215 0.385
P: 0.750 0.385 0.215
P: 0.750 0.785 0.615
O: 0.498 0.646 0.644
O: 0.002 0.356 0.354
O: 0.502 0.354 0.356
O: 0.998 0.644 0.646
O: 0.751 0.877 0.415
O: 0.749 0.585 0.123
O: 0.249 0.123 0.585
O: 0.251 0.415 0.877
O: 0.249 0.757 0.909
O: 0.251 0.091 0.243
O: 0.751 0.243 0.091
O: 0.749 0.909 0.757

Material: BiP3O9
Method: DFT, PBE
State: optimized geometry

Its density of states at the Fermi level is 0.0 states/eV/cell. Its space group is No. 20.

Lattice parameters (Å, degrees): 7.119 7.119 7.323 90.00 90.00 104.55
Positions (direct):
Bi: 0.644 0.644 0.000
Bi: 0.356 0.356 0.500
P: 0.169 0.815 0.045
P: 0.831 0.185 0.545
P: 0.815 0.169 0.955
P: 0.185 0.831 0.455
P: 0.247 0.247 0.000
P: 0.753 0.753 0.500
O: 0.245 0.027 0.954
O: 0.755 0.973 0.454
O: 0.027 0.245 0.046
O: 0.973 0.755 0.546
O: 0.318 0.361 0.829
O: 0.682 0.639 0.329
O: 0.361 0.318 0.171
O: 0.639 0.682 0.671
O: 0.286 0.672 0.464
O: 0.714 0.328 0.964
O: 0.672 0.286 0.536
O: 0.328 0.714 0.036
O: 0.283 0.024 0.539
O: 0.717 0.976 0.039
O: 0.024 0.283 0.461
O: 0.976 0.717 0.961
O: 0.126 0.874 0.250
O: 0.874 0.126 0.750

Material: BiPO
Method: DFT, PBE
State: optimized geometry

Its space group is No. 1.

Lattice parameters (Å, degrees): 4.635 5.439 5.658 74.46 90.24 86.50
Positions (direct):
Bi: 0.265 0.314 0.874
Bi: 0.242 0.844 0.348
P: 0.626 0.479 0.174
P: 0.693 0.107 0.462
O: 0.698 0.157 0.726
O: 0.935 0.552 0.067

Number 1: ΔE to the lowest computed polymorph 0 kJ/mol of formula units, ΔE_f (raw) -1.851 eV per atom. Number 2: ΔE to the lowest computed polymorph 5 kJ/mol of formula units, ΔE_f (raw) -2.000 eV per atom. Number 3: ΔE to the lowest computed polymorph 39 kJ/mol of formula units, ΔE_f (raw) -0.661 eV per atom.